Version one
# V3Pt2Rh2

A geometry-optimized V3Pt2Rh2 structure (GGA-PBE, the Alexandria database).

Output
V = 14.3 Å³ per atom
calculated density = 12.42 g/cm³
Fermi-level density of states = 7.0 states/eV/f.u.

abc: 3.799 6.145 4.734
angles: 97.65 113.66 90.00
Positions (direct):
Pt 0.582 0.744 0.165
Pt 0.418 0.256 0.835
V 0.706 0.164 0.412
V 0.294 0.836 0.588
V 0.000 0.000 0.000
Rh 0.859 0.583 0.719
Rh 0.141 0.417 0.281

=====

Version two
# V3Pt2Rh2

A geometry-optimized V3Pt2Rh2 structure (GGA-PBE, the Alexandria database).

Output
V = 14.4 Å³ per atom
calculated density = 12.31 g/cm³
Fermi-level density of states = 8.8 states/eV/f.u.

abc: 3.805 2.726 9.918
angles: 90.00 78.94 90.00
Positions (direct):
Pt 0.570 0.500 0.861
Pt 0.430 0.500 0.139
Rh 0.295 0.500 0.411
Rh 0.705 0.500 0.589
V 0.000 0.000 0.000
V 0.852 0.000 0.297
V 0.148 0.000 0.703

=====

Which of them is least stable? Easy: version two.

=====

Version one
# VPt6Rh2

A geometry-optimized VPt6Rh2 structure (GGA-PBE, the Alexandria database).

Output
V = 15.0 Å³ per atom
calculated density = 17.55 g/cm³
Fermi-level density of states = 11.6 states/eV/f.u.

abc: 3.892 4.805 8.323
angles: 73.24 76.48 66.11
Positions (direct):
Pt 0.334 0.280 0.053
Pt 0.666 0.720 0.947
Pt 0.005 0.169 0.822
Pt 0.995 0.831 0.178
Pt 0.331 0.943 0.394
Pt 0.669 0.057 0.606
V 0.000 0.500 0.500
Rh 0.657 0.400 0.287
Rh 0.343 0.600 0.713

=====

Version two
# VPt6Rh2

A geometry-optimized VPt6Rh2 structure (GGA-PBE, the Alexandria database).

Output
V = 15.1 Å³ per atom
calculated density = 17.49 g/cm³
Fermi-level density of states = 13.3 states/eV/f.u.

abc: 2.771 6.201 8.306
angles: 102.79 90.00 102.91
Positions (direct):
Pt 0.333 0.666 0.445
Pt 0.665 0.331 0.893
Pt 0.667 0.334 0.555
Pt 0.001 0.003 0.676
Pt 0.335 0.669 0.107
Pt 0.999 0.997 0.324
Rh 0.343 0.686 0.786
Rh 0.657 0.314 0.214
V 0.000 0.000 0.000

=====

Which of them is least stable? Easy: version two.

=====

Version one
# V2PtRh4

A geometry-optimized V2PtRh4 structure (GGA-PBE, the Alexandria database).

Output
V = 14.9 Å³ per atom
calculated density = 11.31 g/cm³
Fermi-level density of states = 7.5 states/eV/f.u.

abc: 8.884 5.925 3.953
angles: 90.00 90.00 90.00
Positions (direct):
Pt 0.500 0.500 0.000
Pt 0.000 0.000 0.000
V 0.957 0.305 0.500
V 0.543 0.805 0.500
V 0.457 0.195 0.500
V 0.043 0.695 0.500
Rh 0.693 0.416 0.500
Rh 0.307 0.584 0.500
Rh 0.807 0.916 0.500
Rh 0.639 0.102 0.000
Rh 0.193 0.084 0.500
Rh 0.361 0.898 0.000
Rh 0.139 0.398 0.000
Rh 0.861 0.602 0.000

=====

Version two
# V2PtRh4

A geometry-optimized V2PtRh4 structure (GGA-PBE, the Alexandria database).

Output
V = 14.3 Å³ per atom
calculated density = 11.75 g/cm³
Fermi-level density of states = 7.5 states/eV/f.u.

abc: 5.397 6.434 7.227
angles: 110.23 113.02 101.23
Positions (direct):
Pt 0.017 0.835 0.975
Pt 0.280 0.724 0.543
Rh 0.773 0.140 0.813
Rh 0.760 0.694 0.527
Rh 0.523 0.841 0.988
Rh 0.262 0.521 0.104
Rh 0.513 0.999 0.384
Rh 0.257 0.128 0.798
Rh 0.042 0.264 0.276
Rh 0.765 0.523 0.109
V 0.528 0.422 0.684
V 0.976 0.958 0.371
V 0.026 0.429 0.688
V 0.527 0.273 0.241

=====

Version three
# V2PtRh4

A geometry-optimized V2PtRh4 structure (GGA-PBE, the Alexandria database).

Output
V = 19.5 Å³ per atom
calculated density = 8.63 g/cm³
Fermi-level density of states = 9.2 states/eV/f.u.

abc: 4.782 4.782 6.856
angles: 69.59 69.59 90.00
Positions (direct):
V 0.607 0.607 0.787
V 0.393 0.393 0.213
Rh 0.780 0.780 0.440
Rh 0.000 0.500 0.000
Rh 0.500 0.000 0.000
Rh 0.220 0.220 0.560
Pt 0.000 0.000 0.000

=====

Which of them is least stable? Easy: version three.

=====

Version one
# VPt8Rh6

A geometry-optimized VPt8Rh6 structure (GGA-PBE, the Alexandria database).

Output
V = 16.2 Å³ per atom
calculated density = 15.26 g/cm³
Fermi-level density of states = 25.7 states/eV/f.u.

abc: 7.249 7.249 6.778
angles: 57.67 57.67 60.00
Positions (direct):
Rh 0.360 0.078 0.894
Rh 0.078 0.668 0.894
Rh 0.922 0.332 0.106
Rh 0.640 0.922 0.106
Rh 0.332 0.640 0.106
Rh 0.668 0.360 0.894
Pt 0.590 0.166 0.390
Pt 0.834 0.145 0.610
Pt 0.255 0.255 0.235
Pt 0.855 0.590 0.390
Pt 0.410 0.834 0.610
Pt 0.745 0.745 0.765
Pt 0.145 0.410 0.610
Pt 0.166 0.855 0.390
V 0.000 0.000 0.000

=====

Version two
# VPt8Rh6

A geometry-optimized VPt8Rh6 structure (GGA-PBE, the Alexandria database).

Output
V = 16.4 Å³ per atom
calculated density = 15.00 g/cm³
Fermi-level density of states = 23.6 states/eV/f.u.

abc: 5.382 7.276 7.276
angles: 120.00 90.00 90.00
Positions (direct):
Pt 0.124 0.697 0.028
Pt 0.876 0.028 0.332
Pt 0.353 0.667 0.333
Pt 0.647 0.333 0.667
Pt 0.124 0.972 0.668
Pt 0.876 0.303 0.972
Pt 0.124 0.332 0.303
Pt 0.876 0.668 0.697
Rh 0.628 0.357 0.315
Rh 0.372 0.042 0.357
Rh 0.372 0.643 0.685
Rh 0.628 0.958 0.643
Rh 0.628 0.685 0.042
Rh 0.372 0.315 0.958
V 0.500 0.000 0.000

=====

Which of them is least stable? Easy: version one.

=====

Version one
# V4Pt5Rh2

A geometry-optimized V4Pt5Rh2 structure (GGA-PBE, the Alexandria database).

Output
V = 16.7 Å³ per atom
calculated density = 12.55 g/cm³
Fermi-level density of states = 10.5 states/eV/f.u.

abc: 4.129 4.658 9.768
angles: 93.58 102.20 90.00
Positions (direct):
V 0.323 0.340 0.645
V 0.677 0.660 0.355
V 0.959 0.722 0.918
V 0.041 0.278 0.082
Pt 0.097 0.787 0.194
Pt 0.500 0.000 0.000
Pt 0.170 0.317 0.340
Pt 0.830 0.683 0.660
Pt 0.903 0.213 0.806
Rh 0.252 0.824 0.504
Rh 0.748 0.176 0.496

=====

Version two
# V4Pt5Rh2

A geometry-optimized V4Pt5Rh2 structure (GGA-PBE, the Alexandria database).

Output
V = 14.8 Å³ per atom
calculated density = 14.17 g/cm³
Fermi-level density of states = 9.5 states/eV/f.u.

abc: 2.738 6.750 8.876
angles: 81.55 90.00 90.00
Positions (direct):
Rh 0.000 0.931 0.643
Rh 0.000 0.069 0.357
Pt 0.000 0.500 0.000
Pt 0.000 0.160 0.864
Pt 0.000 0.840 0.136
Pt 0.000 0.531 0.686
Pt 0.000 0.469 0.314
V 0.500 0.265 0.555
V 0.500 0.817 0.878
V 0.500 0.183 0.122
V 0.500 0.735 0.445

=====

Which of them is least stable? Easy: version one.

=====

Version one
# VPtRh

A geometry-optimized VPtRh structure (GGA-PBE, the Alexandria database).

Output
V = 14.3 Å³ per atom
calculated density = 13.47 g/cm³
Fermi-level density of states = 2.9 states/eV/f.u.

abc: 4.735 8.179 4.751
angles: 90.00 110.79 90.00
Positions (direct):
Rh 0.500 0.465 0.500
Rh 0.500 0.307 0.000
Rh 0.500 0.807 0.500
Rh 0.500 0.965 0.000
V 0.500 0.641 0.000
V 0.500 0.141 0.500
V 0.000 0.446 0.000
V 0.000 0.946 0.500
Pt 0.000 0.282 0.500
Pt 0.000 0.782 0.000
Pt 0.000 0.120 0.000
Pt 0.000 0.620 0.500

=====

Version two
# VPtRh

A geometry-optimized VPtRh structure (GGA-PBE, the Alexandria database).

Output
V = 14.3 Å³ per atom
calculated density = 13.49 g/cm³
Fermi-level density of states = 3.1 states/eV/f.u.

abc: 4.633 8.417 4.620
angles: 90.00 107.52 90.00
Positions (direct):
Pt 0.000 0.839 0.500
Pt 0.000 0.161 0.500
Pt 0.000 0.339 0.000
Pt 0.000 0.661 0.000
Rh 0.500 0.659 0.500
Rh 0.500 0.159 0.000
Rh 0.500 0.341 0.500
Rh 0.500 0.841 0.000
V 0.000 0.000 0.000
V 0.000 0.500 0.500
V 0.500 0.500 0.000
V 0.500 0.000 0.500

=====

Version three
# VPtRh

A geometry-optimized VPtRh structure (GGA-PBE, the Alexandria database).

Output
V = 14.9 Å³ per atom
calculated density = 12.93 g/cm³
Fermi-level density of states = 3.6 states/eV/f.u.

abc: 2.740 6.001 5.601
angles: 90.00 90.00 103.20
Positions (direct):
Pt 0.849 0.699 0.750
Pt 0.151 0.301 0.250
V 0.500 0.000 0.500
V 0.500 0.000 0.000
Rh 0.144 0.288 0.750
Rh 0.856 0.712 0.250

=====

Which of them is least stable? Easy: version three.

=====

Version one
# VPt3Rh4

A geometry-optimized VPt3Rh4 structure (GGA-PBE, the Alexandria database).

Output
V = 15.4 Å³ per atom
calculated density = 14.08 g/cm³
Fermi-level density of states = 11.9 states/eV/f.u.

abc: 2.787 4.180 10.807
angles: 101.15 89.99 90.00
Positions (direct):
Rh 0.500 0.594 0.188
Rh 0.500 0.717 0.433
Rh 0.500 0.406 0.812
Rh 0.500 0.283 0.567
Pt 0.500 0.000 0.000
Pt 0.000 0.157 0.315
Pt 0.000 0.843 0.685
V 0.000 0.500 0.000

=====

Version two
# VPt3Rh4

A geometry-optimized VPt3Rh4 structure (GGA-PBE, the Alexandria database).

Output
V = 14.5 Å³ per atom
calculated density = 14.96 g/cm³
Fermi-level density of states = 5.9 states/eV/f.u.

abc: 3.872 3.872 8.224
angles: 76.40 103.62 90.00
Positions (direct):
Rh 0.119 0.882 0.238
Rh 0.619 0.381 0.238
Rh 0.881 0.118 0.762
Rh 0.381 0.619 0.762
V 0.500 0.000 0.000
Pt 0.754 0.746 0.508
Pt 0.000 0.500 0.000
Pt 0.246 0.254 0.492

=====

Which of them is least stable? Easy: version one.

=====

Version one
# VPt2Rh4

A geometry-optimized VPt2Rh4 structure (GGA-PBE, the Alexandria database).

Output
V = 14.4 Å³ per atom
calculated density = 14.05 g/cm³
Fermi-level density of states = 7.2 states/eV/f.u.

abc: 3.870 4.739 6.080
angles: 97.29 90.00 65.90
Positions (direct):
V 0.000 0.000 0.000
Rh 0.141 0.718 0.582
Rh 0.567 0.865 0.288
Rh 0.433 0.135 0.712
Rh 0.859 0.282 0.418
Pt 0.712 0.576 0.861
Pt 0.288 0.424 0.139

=====

Version two
# VPt2Rh4

A geometry-optimized VPt2Rh4 structure (GGA-PBE, the Alexandria database).

Output
V = 15.2 Å³ per atom
calculated density = 13.34 g/cm³
Fermi-level density of states = 8.2 states/eV/f.u.

abc: 2.758 6.462 12.188
angles: 90.00 90.00 102.32
Positions (direct):
Rh 0.823 0.646 0.422
Rh 0.177 0.354 0.578
Rh 0.039 0.077 0.750
Rh 0.500 0.000 0.500
Rh 0.823 0.646 0.078
Rh 0.500 0.000 0.000
Rh 0.177 0.354 0.922
Rh 0.961 0.923 0.250
Pt 0.137 0.273 0.363
Pt 0.137 0.273 0.137
Pt 0.863 0.727 0.863
Pt 0.863 0.727 0.637
V 0.306 0.612 0.250
V 0.694 0.388 0.750

=====

Which of them is least stable? Easy: version two.